(1)
Compound: NdTeCl
Source: Alexandria
Functional: GGA-PBE
Structure: relaxed

The value obtained for the formation energy (no corrections) is -1416 meV/atom. Its relative energy among the computed polymorphs is 406 meV/atom. As for the symmetry: Cmcm (63). The size of the total moment is 0.00 μB per cell.

extended XYZ file:
```
6
Lattice="2.3310 -14.1121 0.0000 2.3310 14.1121 0.0000 0.0000 0.0000 4.6653" Properties=species:S:1:pos:R:3 pbc="T T T"
Nd 2.3310 10.5766 3.4990
Nd 2.3310 -10.5766 1.1663
Te 2.3310 8.7834 1.1663
Te 2.3310 -8.7834 3.4990
Cl 2.3310 2.0415 1.1663
Cl 2.3310 -2.0415 3.4990
```

***

(2)
Compound: NdTeCl2
Source: Alexandria
Functional: GGA-PBE
Structure: relaxed

The value obtained for the formation energy (no corrections) is -1542 meV/atom. As for the symmetry: Cmcm (63). The size of the total moment is 0.00 μB per cell.

extended XYZ file:
```
8
Lattice="2.2498 -5.9772 0.0000 2.2498 5.9772 0.0000 0.0000 0.0000 8.3549" Properties=species:S:1:pos:R:3 pbc="T T T"
Nd 2.2498 3.0798 6.2662
Nd 2.2498 -3.0798 2.0887
Te 2.2498 5.4482 2.0887
Te 2.2498 -5.4482 6.2662
Cl 2.2498 1.9185 0.5071
Cl 2.2498 1.9185 3.6704
Cl 2.2498 -1.9185 4.6845
Cl 2.2498 -1.9185 7.8478
```

***

(3)
Compound: NdTeCl
Source: Alexandria
Functional: GGA-PBE
Structure: relaxed

The value obtained for the formation energy (no corrections) is -1495 meV/atom. Its relative energy among the computed polymorphs is 327 meV/atom. As for the symmetry: I4mm (107). The size of the total moment is 0.00 μB per cell.

extended XYZ file:
```
3
Lattice="-1.9808 1.9808 5.2061 1.9808 -1.9808 5.2061 1.9808 1.9808 -5.2061" Properties=species:S:1:pos:R:3 pbc="T T T"
Nd 0.0000 0.0000 0.0000
Te 0.0000 0.0000 3.4853
Cl 0.0000 0.0000 6.6514
```

***

(4)
Compound: NdTeCl
Source: Alexandria
Functional: GGA-PBE
Structure: relaxed

The value obtained for the formation energy (no corrections) is -1772 meV/atom. Its relative energy among the computed polymorphs is 49 meV/atom. As for the symmetry: P2_1/m (11). The size of the total moment is 0.00 μB per cell.

extended XYZ file:
```
6
Lattice="4.6420 0.0000 0.0000 0.0000 4.0884 0.0000 -0.0102 0.0000 10.9545" Properties=species:S:1:pos:R:3 pbc="T T T"
Nd 1.1602 1.0221 2.1561
Nd 3.4715 3.0663 8.7983
Te 1.1504 1.0221 9.8005
Te 3.4814 3.0663 1.1540
Cl 1.1639 3.0663 4.0596
Cl 3.4679 1.0221 6.8949
```

***

(5)
Compound: Nd2TeCl
Source: Alexandria
Functional: GGA-PBE
Structure: relaxed

The value obtained for the formation energy (no corrections) is -1311 meV/atom. Its relative energy among the computed polymorphs is 30 meV/atom. As for the symmetry: Fm-3m (225). The size of the total moment is 0.00 μB per cell.

extended XYZ file:
```
4
Lattice="0.0000 3.7574 3.7574 3.7574 0.0000 3.7574 3.7574 3.7574 0.0000" Properties=species:S:1:pos:R:3 pbc="T T T"
Nd 1.8787 1.8787 1.8787
Nd 5.6361 5.6361 5.6361
Te 0.0000 0.0000 0.0000
Cl 3.7574 3.7574 3.7574
```

***

(6)
Compound: NdYTe2Cl
Source: Alexandria
Functional: GGA-PBE
Structure: relaxed

The value obtained for the formation energy (no corrections) is -1617 meV/atom. As for the symmetry: P4/nmm (129). The size of the total moment is 0.00 μB per cell.

extended XYZ file:
```
10
Lattice="4.3553 0.0000 0.0000 0.0000 4.3553 0.0000 0.0000 0.0000 15.0529" Properties=species:S:1:pos:R:3 pbc="T T T"
Nd 1.0888 1.0888 2.0150
Nd 3.2665 3.2665 13.0379
Y 1.0888 1.0888 8.7870
Y 3.2665 3.2665 6.2660
Te 1.0888 1.0888 5.6770
Te 1.0888 1.0888 11.9531
Te 3.2665 3.2665 3.0998
Te 3.2665 3.2665 9.3759
Cl 1.0888 3.2665 0.0000
Cl 3.2665 1.0888 0.0000
```

***

Q: Which formula does entry 1 have?
A: NdTeCl

***

What did the second record say?
Compound: NdTeCl2
Source: Alexandria
Functional: GGA-PBE
Structure: relaxed

The value obtained for the formation energy (no corrections) is -1542 meV/atom. As for the symmetry: Cmcm (63). The size of the total moment is 0.00 μB per cell.

extended XYZ file:
```
8
Lattice="2.2498 -5.9772 0.0000 2.2498 5.9772 0.0000 0.0000 0.0000 8.3549" Properties=species:S:1:pos:R:3 pbc="T T T"
Nd 2.2498 3.0798 6.2662
Nd 2.2498 -3.0798 2.0887
Te 2.2498 5.4482 2.0887
Te 2.2498 -5.4482 6.2662
Cl 2.2498 1.9185 0.5071
Cl 2.2498 1.9185 3.6704
Cl 2.2498 -1.9185 4.6845
Cl 2.2498 -1.9185 7.8478
```